First-principles (PBEsol) data for crystalline Fe2TePb at its relaxed geometry, as listed in the Alexandria database.

**Crystal system**: trigonal
**Calculated volume**: 72.0 Å³ per cell
**Energy above the most stable polymorph in this dataset**: 359 meV/atom
**Formation energy from raw total energies**: 2.18 eV/f.u.
**Density of states at the Fermi level**: 5.6 states/eV/cell

a b c (Å): 7.9242 7.9242 7.9242
angles (deg): 23.93 23.93 23.93
Sites, in units of the cell vectors:
Fe 0.2452 0.2452 0.2452
Fe 0.7548 0.7548 0.7548
Te 0.5000 0.5000 0.5000
Pb 0.0000 0.0000 0.0000



First-principles (PBEsol) data for crystalline Fe2TePb at its relaxed geometry, as listed in the Alexandria database.

**Crystal system**: orthorhombic
**Calculated volume**: 73.0 Å³ per cell
**Energy above the most stable polymorph in this dataset**: 88 meV/atom
**Formation energy from raw total energies**: 1.10 eV/f.u.
**Density of states at the Fermi level**: 3.0 states/eV/cell

a b c (Å): 4.0601 5.2164 5.2164
angles (deg): 41.38 90.00 90.00
Sites, in units of the cell vectors:
Fe 0.0000 0.0000 0.0000
Fe 0.5000 0.1316 0.1316
Te 0.5000 0.4311 0.4311
Pb 0.0000 0.7166 0.7166



First-principles (PBEsol) data for crystalline TiFePb3 at its relaxed geometry, as listed in the Alexandria database.

**DFT formation energy**: 0.990 eV/atom
**Crystal system**: cubic
**Calculated volume**: 148.1 Å³ per cell
**Density of states at the Fermi level**: 8.3 states/eV/cell

a b c (Å): 5.2905 5.2905 5.2905
angles (deg): 90.00 90.00 90.00
Sites, in units of the cell vectors:
Ti 0.0000 0.0000 0.0000
Fe 0.5000 0.5000 0.5000
Pb 0.0000 0.0000 0.5000
Pb 0.0000 0.5000 0.0000
Pb 0.5000 0.0000 0.0000



First-principles (PBEsol) data for crystalline TlFePb2 at its relaxed geometry, as listed in the Alexandria database.

**DFT formation energy**: 0.571 eV/atom
**Crystal system**: monoclinic
**Calculated volume**: 96.8 Å³ per cell
**Energy above the most stable polymorph in this dataset**: 178 meV/atom
**Density of states at the Fermi level**: 4.0 states/eV/cell

a b c (Å): 5.5139 5.5139 3.3031
angles (deg): 90.09 90.09 105.37
Sites, in units of the cell vectors:
Tl 0.0000 0.0000 0.0000
Fe 0.5000 0.5000 0.0000
Pb 0.0000 0.5000 0.5000
Pb 0.5000 0.0000 0.5000



First-principles (PBEsol) data for crystalline Tl2FePb at its relaxed geometry, as listed in the Alexandria database.

**DFT formation energy**: 0.381 eV/atom
**Crystal system**: orthorhombic
**Calculated volume**: 95.1 Å³ per cell
**Energy above the most stable polymorph in this dataset**: 0 meV/atom
**Density of states at the Fermi level**: 3.1 states/eV/cell

a b c (Å): 7.2972 7.2972 7.2972
angles (deg): 155.69 143.40 44.43
Sites, in units of the cell vectors:
Tl 0.0000 0.0000 0.0000
Tl 0.6773 0.1773 0.5000
Fe 0.4971 0.4971 0.0000
Pb 0.3197 0.8197 0.5000



First-principles (PBEsol) data for crystalline TlFePb at its relaxed geometry, as listed in the Alexandria database.

**DFT formation energy**: 0.551 eV/atom
**Crystal system**: tetragonal
**Calculated volume**: 64.5 Å³ per cell
**Energy above the most stable polymorph in this dataset**: 0 meV/atom
**Density of states at the Fermi level**: 3.6 states/eV/cell

a b c (Å): 6.1687 6.1687 6.1687
angles (deg): 148.34 148.34 45.39
Sites, in units of the cell vectors:
Tl 0.0000 0.0000 0.0000
Fe 0.3583 0.3583 0.0000
Pb 0.7192 0.7192 0.0000



First-principles (PBEsol) data for crystalline TlFe2Pb at its relaxed geometry, as listed in the Alexandria database.

**DFT formation energy**: 0.397 eV/atom
**Crystal system**: tetragonal
**Calculated volume**: 76.8 Å³ per cell
**Density of states at the Fermi level**: 3.1 states/eV/cell

a b c (Å): 3.1179 3.1179 7.8949
angles (deg): 90.00 90.00 90.00
Sites, in units of the cell vectors:
Tl 0.0000 0.0000 0.0000
Fe 0.0000 0.0000 0.6286
Fe 0.5000 0.5000 0.7568
Pb 0.5000 0.5000 0.3823



First-principles (PBEsol) data for crystalline TlFePb at its relaxed geometry, as listed in the Alexandria database.

**DFT formation energy**: 0.681 eV/atom
**Crystal system**: trigonal
**Calculated volume**: 66.8 Å³ per cell
**Energy above the most stable polymorph in this dataset**: 129 meV/atom
**Density of states at the Fermi level**: 4.2 states/eV/cell

a b c (Å): 4.8373 4.8373 3.2949
angles (deg): 90.00 90.00 120.00
Sites, in units of the cell vectors:
Tl 0.0000 0.0000 0.0000
Fe 0.3333 0.6667 0.9978
Pb 0.6667 0.3333 0.4998